Entry from the Alexandria database: CoCuMo2 after structural relaxation (GGA-PBE).

```
CoCuMo2
1.0
2.665 0.312 0.000
-0.299 2.666 0.000
0.000 0.000 7.582
Co Cu Mo
1 1 2
Direct
0.000 0.000 0.505 Co
0.500 0.500 0.727 Cu
0.000 0.000 0.983 Mo
0.500 0.500 0.284 Mo
```

**Formation energy from the elements**: 0.18 eV per atom
**Distance to the lowest polymorph of the same formula**: 41.1 meV per atom
**Crystal system**: orthorhombic
**Space group**: Cmm2, No. 35